1.
InHg2 after structural relaxation, computed with PBEsol.

**Energy relative to the elements**: -17 meV/atom

Lattice parameters (Å, degrees): 3.332 3.332 12.816 90.00 90.00 90.00
Space group I4/mmm (No. 139)
Unique sites:
In: 0.000 0.000 0.000 [2 per cell]
Hg: 0.000 0.000 0.331 [4 per cell]


2.
InRh3Se after structural relaxation, computed with PBEsol.

**Energy relative to the elements, uncorrected**: 0.34 eV/atom

Lattice parameters (Å, degrees): 4.504 4.504 4.504 90.00 90.00 90.00
Space group Pm-3m (No. 221)
Unique sites:
In: 0.000 0.000 0.000 [1 per cell]
Rh: 0.000 0.500 0.500 [3 per cell]
Se: 0.500 0.500 0.500 [1 per cell]


3.
MnPbBr2 after structural relaxation, computed with PBEsol.

**Energy relative to the elements, uncorrected**: -0.21 eV/atom

Lattice parameters (Å, degrees): 11.179 3.502 5.771 90.00 111.56 90.00
Space group Cm (No. 8)
Unique sites:
Mn: 0.000 0.000 0.000 [2 per cell]
Pb: 0.275 0.000 0.984 [2 per cell]
Br: 0.135 0.500 0.312 [2 per cell]
Br: 0.432 0.000 0.646 [2 per cell]


no.,Fermi-level density of states (states/eV/cell)
1,2.0
2,5.6
3,2.2